[1]
The following is a SCAN calculation of a crystal of MgAg2 relaxed with PBEsol, from the Alexandria database.

Lattice parameters (Å, degrees): 4.6120 4.6120 5.6121 90.00 90.00 120.00
Element x y z (fractional)
Mg: 0.3333 0.6667 0.2500
Mg: 0.6667 0.3333 0.7500
Ag: 0.0000 0.0000 0.0000
Ag: 0.0000 0.0000 0.5000
Ag: 0.3333 0.6667 0.7500
Ag: 0.6667 0.3333 0.2500

Values from the calculation:
- formation energy from the elements (eV per atom) = -0.155
- crystal system = hexagonal
- distance to the lowest polymorph of the same formula (eV per atom) = 0.031

***

[2]
The following is a SCAN calculation of a crystal of Ca2NbInAu relaxed with PBEsol, from the Alexandria database.

Lattice parameters (Å, degrees): 5.6884 5.6884 5.2153 90.00 90.00 90.00
Element x y z (fractional)
Ca: 0.0000 0.5000 0.0000
Ca: 0.5000 0.0000 0.0000
Nb: 0.0000 0.0000 0.5000
In: 0.0000 0.0000 0.0000
Au: 0.5000 0.5000 0.5000

Values from the calculation:
- formation energy from the elements (eV per atom) = 0.636
- crystal system = tetragonal

***

[3]
The following is a SCAN calculation of a crystal of TaCdP2 relaxed with PBEsol, from the Alexandria database.

Lattice parameters (Å, degrees): 6.6454 6.6454 6.6454 151.65 149.26 42.31
Element x y z (fractional)
Ta: 0.0000 0.0000 0.0000
Cd: 0.2463 0.7463 0.5000
P: 0.5684 0.5684 0.0000
P: 0.8498 0.3498 0.5000

Values from the calculation:
- formation energy from the elements (eV per atom) = -0.171
- crystal system = orthorhombic

***

[4]
The following is a SCAN calculation of a crystal of AlZn2Pb relaxed with PBEsol, from the Alexandria database.

Lattice parameters (Å, degrees): 8.5443 8.5443 8.5443 22.32 22.32 22.32
Element x y z (fractional)
Al: 0.0000 0.0000 0.0000
Zn: 0.2594 0.2594 0.2594
Zn: 0.7406 0.7406 0.7406
Pb: 0.5000 0.5000 0.5000

Values from the calculation:
- formation energy from the elements (eV per atom) = 0.197
- crystal system = trigonal
- distance to the lowest polymorph of the same formula (eV per atom) = 0.047

***

[5]
The following is a SCAN calculation of a crystal of TcPb3 relaxed with PBEsol, from the Alexandria database.

Lattice parameters (Å, degrees): 5.4997 5.4997 3.2993 90.00 90.00 105.34
Element x y z (fractional)
Tc: 0.0000 0.0000 0.0000
Pb: 0.0000 0.5000 0.5000
Pb: 0.5000 0.0000 0.5000
Pb: 0.5000 0.5000 0.0000

Values from the calculation:
- formation energy from the elements (eV per atom) = 0.707
- crystal system = orthorhombic
- distance to the lowest polymorph of the same formula (eV per atom) = 0.307

***

[6]
The following is a SCAN calculation of a crystal of YMo relaxed with PBEsol, from the Alexandria database.

Lattice parameters (Å, degrees): 3.2487 3.2487 8.3140 90.00 90.00 90.00
Element x y z (fractional)
Y: 0.2500 0.2500 0.1825
Y: 0.7500 0.7500 0.8175
Mo: 0.2500 0.2500 0.5784
Mo: 0.7500 0.7500 0.4216

Values from the calculation:
- formation energy from the elements (eV per atom) = 0.156
- crystal system = tetragonal
- distance to the lowest polymorph of the same formula (eV per atom) = 0.000

***

[7]
The following is a SCAN calculation of a crystal of Ir3Os relaxed with PBEsol, from the Alexandria database.

Lattice parameters (Å, degrees): 4.6937 4.6937 4.6859 99.49 99.49 33.45
Element x y z (fractional)
Ir: 0.0000 0.0000 0.0000
Ir: 0.2487 0.2487 0.7473
Ir: 0.7513 0.7513 0.2527
Os: 0.5000 0.5000 0.5000

Values from the calculation:
- formation energy from the elements (eV per atom) = 0.015
- crystal system = monoclinic

***

[8]
The following is a SCAN calculation of a crystal of Cr2ReAgCl relaxed with PBEsol, from the Alexandria database.

Lattice parameters (Å, degrees): 4.9983 4.9983 4.9070 90.00 90.00 90.00
Element x y z (fractional)
Cr: 0.0000 0.5000 0.0000
Cr: 0.5000 0.0000 0.0000
Re: 0.0000 0.0000 0.5000
Ag: 0.0000 0.0000 0.0000
Cl: 0.5000 0.5000 0.5000

Values from the calculation:
- crystal system = tetragonal
- ΔE_f (raw) (eV per atom) = 1.567

***

[9]
The following is a SCAN calculation of a crystal of CrIn2Os relaxed with PBEsol, from the Alexandria database.

Lattice parameters (Å, degrees): 2.9589 4.5560 5.0903 90.00 92.53 90.00
Element x y z (fractional)
Cr: 0.0000 0.0000 0.0000
In: 0.2522 0.5000 0.7503
In: 0.7478 0.5000 0.2497
Os: 0.5000 0.0000 0.5000

Values from the calculation:
- formation energy from the elements (eV per atom) = 0.468
- crystal system = monoclinic

***

[10]
The following is a SCAN calculation of a crystal of LiHgAu2 relaxed with PBEsol, from the Alexandria database.

Lattice parameters (Å, degrees): 2.9820 4.0041 5.7401 90.00 90.00 90.00
Element x y z (fractional)
Li: 0.0000 0.0000 0.0000
Hg: 0.5000 0.5000 0.7396
Au: 0.0000 0.0000 0.4731
Au: 0.5000 0.5000 0.2235

Values from the calculation:
- formation energy from the elements (eV per atom) = -0.302
- crystal system = orthorhombic

***

[11]
The following is a SCAN calculation of a crystal of Cd2TcW relaxed with PBEsol, from the Alexandria database.

Lattice parameters (Å, degrees): 3.0819 3.0819 7.3599 90.00 90.00 90.00
Element x y z (fractional)
Cd: 0.0000 0.0000 0.0000
Cd: 0.5000 0.5000 0.2810
Tc: 0.0000 0.0000 0.5455
W: 0.5000 0.5000 0.7251

Values from the calculation:
- formation energy from the elements (eV per atom) = 0.247
- crystal system = tetragonal
- distance to the lowest polymorph of the same formula (eV per atom) = 0.000

***

[12]
The following is a SCAN calculation of a crystal of MgCu2SbBr relaxed with PBEsol, from the Alexandria database.

Lattice parameters (Å, degrees): 4.5830 4.5830 5.1367 90.00 90.00 90.00
Element x y z (fractional)
Mg: 0.0000 0.0000 0.0000
Cu: 0.0000 0.5000 0.5000
Cu: 0.5000 0.0000 0.5000
Sb: 0.5000 0.5000 0.0000
Br: 0.0000 0.0000 0.5000

Values from the calculation:
- crystal system = tetragonal
- ΔE_f (raw) (eV per atom) = 0.513

***

Across the entries above, theoretical density takes the values 7.71 4.77 8.30 7.68 12.42 7.00 22.72 5.87 11.43 14.57 12.04 5.43 g/cm3, respectively.